# 1
10
Lattice="-3.726 5.794 3.000 3.726 -5.794 3.000 3.726 5.794 -3.000" Properties=species:S:1:pos:R:3 comment="Ho2Te2N (PBE-GGA, optimized geometry)" sg="No. 72" volume_a3_per_cell=259 raw_formation_energy_ev_per_atom=-1.33 final_energy_ev_per_atom=-6.083 pbc="T T T"
Ho 1.321 0.984 0.000
Ho 1.321 -0.984 3.000
Ho 2.405 6.777 0.000
Ho 2.405 4.810 3.000
Te 4.530 1.725 0.000
Te 0.803 4.069 0.000
Te 2.923 1.725 3.000
Te -0.803 4.069 3.000
N 0.000 0.000 1.500
N 0.000 0.000 4.499

***

# 2
7
Lattice="-2.296 2.296 7.940 2.296 -2.296 7.940 2.296 2.296 -7.940" Properties=species:S:1:pos:R:3 comment="Ho4Te2N (PBE-GGA, optimized geometry)" sg="No. 139" volume_a3_per_cell=167 raw_formation_energy_ev_per_atom=-1.03 final_energy_ev_per_atom=-5.734 pbc="T T T"
Ho 2.296 0.000 0.000
Ho 0.000 0.000 2.583
Ho 0.000 2.296 0.000
Ho 0.000 0.000 13.296
Te 0.000 0.000 5.679
Te 0.000 0.000 10.200
N 0.000 0.000 0.000

***

# 3
9
Lattice="6.929 -1.804 0.000 6.929 1.804 0.000 -2.121 0.000 8.524" Properties=species:S:1:pos:R:3 comment="Ho4Te3N2 (PBE-GGA, optimized geometry)" sg="No. 12" volume_a3_per_cell=213 raw_formation_energy_ev_per_atom=-1.38 relative_energy_mev_per_atom=143.8 final_energy_ev_per_atom=-6.308 pbc="T T T"
Ho 0.845 0.000 1.700
Ho 3.548 0.000 3.436
Ho 8.188 0.000 5.089
Ho 10.891 0.000 6.824
Te -1.061 0.000 4.262
Te 5.285 0.000 0.756
Te 6.451 0.000 7.768
N 2.761 0.000 5.584
N 8.975 0.000 2.941

***

# 4
16
Lattice="9.981 0.000 0.000 0.000 7.934 0.000 0.000 0.000 5.964" Properties=species:S:1:pos:R:3 comment="Ho4Te3N (PBE-GGA, optimized geometry)" sg="No. 31" volume_a3_per_cell=472 raw_formation_energy_ev_per_atom=-1.18 final_energy_ev_per_atom=-5.691 pbc="T T T"
Ho 0.000 1.009 0.000
Ho 0.000 6.844 2.841
Ho 2.028 1.856 2.729
Ho 2.963 6.079 5.711
Ho 4.991 1.091 5.823
Ho 4.991 6.926 2.982
Ho 7.018 6.079 5.711
Ho 7.953 1.856 2.729
Te 0.000 5.933 5.835
Te 2.383 2.831 5.722
Te 2.608 5.104 2.740
Te 4.991 2.001 2.853
Te 7.373 5.104 2.740
Te 7.598 2.831 5.722
N 0.000 1.083 2.252
N 4.991 6.852 5.234

***

> What is the formula in the first record?

Ho2Te2N